No. 1
Compound: Li2AlTe
Source: Alexandria
Functional: SCAN
Structure: PBEsol geometry

Computed properties:
**Total magnetic moment**: 0.09 μB/f.u.
**Polymorph energy (0 for the lowest one)**: 308 meV/atom
**ΔE_f (raw)**: -0.1047 eV/atom

Unit cell a=4.9526 b=4.9526 c=4.9526 alpha=60.00 beta=60.00 gamma=60.00
Last column: nearest neighbours and their distance in Å.
Fractional coordinates of all 4 atoms:
Li1 0.0000 0.0000 0.0000  4 Al 3.03, 4 Li 3.03
Li2 0.2500 0.2500 0.2500  4 Te 3.03, 4 Li 3.03
Al1 0.7500 0.7500 0.7500  4 Te 3.03, 4 Li 3.03
Te1 0.5000 0.5000 0.5000  4 Al 3.03, 4 Li 3.03

---

No. 2
Compound: Li2AlTe
Source: Alexandria
Functional: SCAN
Structure: PBEsol geometry

Computed properties:
**Total magnetic moment**: 0.00 μB/f.u.
**Polymorph energy (0 for the lowest one)**: 158 meV/atom
**ΔE_f (raw)**: -0.2538 eV/atom

Unit cell a=4.8386 b=4.8386 c=4.8386 alpha=60.00 beta=60.00 gamma=60.00
Last column: nearest neighbours and their distance in Å.
Fractional coordinates of all 4 atoms:
Li1 0.2500 0.2500 0.2500  4 Te 2.96, 4 Al 2.96
Li2 0.7500 0.7500 0.7500  4 Te 2.96, 4 Al 2.96
Al1 0.0000 0.0000 0.0000  8 Li 2.96
Te1 0.5000 0.5000 0.5000  8 Li 2.96

---

No. 3
Compound: Li2AlTe
Source: Alexandria
Functional: SCAN
Structure: PBEsol geometry

Computed properties:
**Total magnetic moment**: 0.00 μB/f.u.
**Polymorph energy (0 for the lowest one)**: 226 meV/atom
**ΔE_f (raw)**: -0.1864 eV/atom

Unit cell a=9.1030 b=9.1030 c=9.1030 alpha=20.54 beta=20.54 gamma=20.54
Last column: nearest neighbours and their distance in Å.
Fractional coordinates of all 4 atoms:
Li1 0.2482 0.2482 0.2482  3 Te 2.87, 3 Al 2.95
Li2 0.7518 0.7518 0.7518  3 Te 2.87, 3 Al 2.95
Al1 0.0000 0.0000 0.0000  6 Li 2.95, 6 Al 3.25
Te1 0.5000 0.5000 0.5000  6 Li 2.87

---

No. 4
Compound: LiTi3Al
Source: Alexandria
Functional: SCAN
Structure: PBEsol geometry

Computed properties:
**E_form**: 920 meV/atom
**Total magnetic moment**: 2.11 μB/f.u.

Unit cell a=4.7749 b=4.7749 c=4.7749 alpha=90.00 beta=90.00 gamma=90.00
Last column: nearest neighbours and their distance in Å.
Fractional coordinates of all 5 atoms:
Li1 0.0000 0.0000 0.0000  12 Ti 3.38
Ti1 0.0000 0.5000 0.5000  2 Al 2.39
Ti2 0.5000 0.0000 0.5000  2 Al 2.39
Ti3 0.5000 0.5000 0.0000  2 Al 2.39
Al1 0.5000 0.5000 0.5000  6 Ti 2.39

---

> Which value of total magnetic moment does entry 3 give?

0.00 μB/f.u.